The following is a DFT calculation (PBE-GGA) of an optimized crystal structure of Pm5Ga2Te2.

CIF file:
```
data_Pm5Ga2Te2
_chemical_formula_sum 'Pm20 Ga8 Te8'
_space_group_name_H-M_alt 'C m c e'
_space_group_IT_number 64
_space_group_name_Hall '-C 2ac 2'
_cell_length_a 15.7626
_cell_length_b 8.0946
_cell_length_c 8.1182
_cell_angle_alpha 90.00
_cell_angle_beta 90.00
_cell_angle_gamma 90.00
loop_
_atom_site_label
_atom_site_type_symbol
_atom_site_fract_x
_atom_site_fract_y
_atom_site_fract_z
Pm1 Pm 0.0000 0.0000 0.0000
Pm2 Pm 0.1306 0.1706 0.3309
Ga1 Ga 0.0000 0.1224 0.6195
Te1 Te 0.2038 0.0000 0.0000
```

Values from the calculation:
Energy in eV per atom: -4.949
Mass density in g cm⁻³: 7.18